First-principles (PBE) data for an optimized crystal structure of TcPb3O, as listed in Alexandria.

a = 4.914 Å, b = 4.914 Å, c = 4.914 Å
α = 90.00°, β = 90.00°, γ = 90.00°
Fractional positions:
Tc 0.000 0.000 0.000
Pb 0.000 0.500 0.500
Pb 0.500 0.000 0.500
Pb 0.500 0.500 0.000
O 0.500 0.500 0.500

Computed properties:
- space-group type = Pm-3m, No. 221
- calculated total energy (eV/atom) = -4.9360
- energy relative to the lowest polymorph listed for this composition (meV/atom) = 0
- N(E_F) (states/eV/f.u.) = 3.924
- E_form (uncorrected) (meV/atom) = 354